K3In2As2 | PBE-GGA | relaxed

Results
energy relative to the elements	-0.30	eV/atom
DOS(E_F)	0.29	states/eV/atom

a b c (Å): 8.408 8.385 14.070
angles (deg): 90.00 90.00 90.00
Space group Pbcm (No. 57)
Unique sites:
K  0.058  0.156  0.250 x4
K  0.416  0.705  0.624 x8
In  0.197  0.050  0.559 x8
As  0.048  0.750  0.000 x4
As  0.299  0.031  0.750 x4

SrCa3W | PBE-GGA | relaxed

Results
energy relative to the elements	0.79	eV/atom
DOS(E_F)	0.13	states/eV/atom

a b c (Å): 5.762 5.762 5.762
angles (deg): 90.00 90.00 90.00
Space group Pm-3m (No. 221)
Unique sites:
Sr  0.000  0.000  0.000 x1
Ca  0.000  0.500  0.500 x3
W  0.500  0.500  0.500 x1

Li5Mo4 | PBE-GGA | relaxed

Results
energy relative to the elements	0.70	eV/atom
DOS(E_F)	1.02	states/eV/atom

a b c (Å): 7.8281 7.8281 5.4085
angles (deg): 90.00 90.00 120.00
Space group P6_3/mcm (No. 193)
Unique sites:
Li  0.0000  0.3781  0.2500 x6
Li  0.3333  0.6667  0.0000 x4
Mo  0.0000  0.0000  0.0000 x2
Mo  0.0000  0.2769  0.7500 x6

Pu3Ni | PBE-GGA | relaxed

Results
energy relative to the elements	0.15	eV/atom
DOS(E_F)	4.99	states/eV/atom

a b c (Å): 3.591 10.001 5.032
angles (deg): 90.00 90.00 90.00
Space group Imm2 (No. 44)
Unique sites:
Pu  0.000  0.000  0.000 x2
Pu  0.000  0.211  0.500 x4
Ni  0.000  0.500  0.001 x2

Li2CeMgPb2 | PBE-GGA | relaxed

Results
energy relative to the elements	-0.36	eV/atom
DOS(E_F)	0.91	states/eV/atom

a b c (Å): 4.7602 4.7602 7.2285
angles (deg): 90.00 90.00 120.00
Space group P-3m1 (No. 164)
Unique sites:
Li  0.3333  0.6667  0.1671 x2
Ce  0.0000  0.0000  0.5000 x1
Mg  0.0000  0.0000  0.0000 x1
Pb  0.3333  0.6667  0.7427 x2

La3PmPu2Se6 | PBE-GGA | relaxed

Results
DOS(E_F)	1.69	states/eV/atom
formation energy without anion corrections	-1.82	eV/atom

a b c (Å): 7.326 12.693 7.373
angles (deg): 90.00 109.34 90.00
Space group C2/m (No. 12)
Unique sites:
La  0.000  0.000  0.000 x2
La  0.000  0.334  0.000 x4
Pm  0.000  0.500  0.500 x2
Pu  0.000  0.167  0.500 x4
Se  0.243  0.000  0.739 x4
Se  0.248  0.332  0.739 x8

GaReSbI2 | PBE-GGA | relaxed

Results
DOS(E_F)	0.82	states/eV/atom
formation energy without anion corrections	0.65	eV/atom

a b c (Å): 5.719 5.719 5.102
angles (deg): 90.00 90.00 90.00
Space group P4/mmm (No. 123)
Unique sites:
Ga  0.000  0.000  0.000 x1
Re  0.500  0.500  0.500 x1
Sb  0.500  0.500  0.000 x1
I  0.000  0.500  0.500 x2

Rb2AcMnS4 | PBE-GGA | relaxed

Results
formation energy without anion corrections	-1.20	eV/atom

a b c (Å): 11.972 11.728 8.932
angles (deg): 90.00 128.79 90.00
Space group C2/c (No. 15)
Unique sites:
Rb  0.000  0.000  0.000 x4
Rb  0.250  0.250  0.000 x4
Ac  0.000  0.500  0.000 x4
Mn  0.250  0.250  0.500 x4
S  0.078  0.258  0.548 x8
S  0.213  0.455  0.435 x8

Ba4CaIn4 | PBE-GGA | relaxed

Results
energy relative to the elements	-0.24	eV/atom
DOS(E_F)	1.38	states/eV/atom

a b c (Å): 10.308 10.308 7.408
angles (deg): 90.00 90.00 90.00
Space group P4_2/n (No. 86, origin choice 2)
Unique sites:
Ba  0.038  0.667  0.116 x8
Ca  0.250  0.250  0.250 x2
In  0.002  0.625  0.595 x8

SmTm3Ir | PBE-GGA | relaxed

Results
energy relative to the elements	-0.32	eV/atom
DOS(E_F)	1.27	states/eV/atom

a b c (Å): 5.374 5.374 5.374
angles (deg): 90.00 90.00 90.00
Space group Pm-3m (No. 221)
Unique sites:
Sm  0.000  0.000  0.000 x1
Tm  0.000  0.500  0.500 x3
Ir  0.500  0.500  0.500 x1

InSi2Au | PBE-GGA | relaxed

Results
DOS(E_F)	0.24	states/eV/atom
formation energy without anion corrections	0.15	eV/atom

a b c (Å): 3.196 3.570 7.264
angles (deg): 90.00 102.61 90.00
Space group Pm (No. 6)
Unique sites:
In  0.000  0.000  0.000 x1
Si  0.190  0.000  0.377 x1
Si  0.738  0.500  0.476 x1
Au  0.385  0.500  0.770 x1

LiSnHg2Pb | PBE-GGA | relaxed

Results
energy relative to the elements	-0.04	eV/atom
DOS(E_F)	0.53	states/eV/atom

a b c (Å): 4.9281 4.9281 6.5244
angles (deg): 90.00 90.00 120.00
Space group P3m1 (No. 156)
Unique sites:
Li  0.0000  0.0000  0.0000 x1
Sn  0.3333  0.6667  0.6628 x1
Hg  0.0000  0.0000  0.5604 x1
Hg  0.3333  0.6667  0.1126 x1
Pb  0.6667  0.3333  0.3022 x1

What did the first record say?
K3In2As2 | PBE-GGA | relaxed

Results
energy relative to the elements	-0.30	eV/atom
DOS(E_F)	0.29	states/eV/atom

a b c (Å): 8.408 8.385 14.070
angles (deg): 90.00 90.00 90.00
Space group Pbcm (No. 57)
Unique sites:
K  0.058  0.156  0.250 x4
K  0.416  0.705  0.624 x8
In  0.197  0.050  0.559 x8
As  0.048  0.750  0.000 x4
As  0.299  0.031  0.750 x4